1.
Computed, not measured: a geometry-optimized CsNi4Se2 structure at the PBE level of DFT.

It has space group I4/mmm (No. 139), with a = 4.827 Å, b = 4.827 Å, c = 14.674 Å, α = 90.00°, β = 90.00° and γ = 90.00°. The inequivalent atoms are Cs at (0.000, 0.000, 0.000), Ni at (0.000, 0.000, 0.253), Ni at (0.000, 0.500, 0.000) and Se at (0.000, 0.000, 0.401).

As for the total energy: -3.29 eV per atom. The calculation puts the density of states at the Fermi level at 19.8 states/eV/cell. The value obtained for the uncorrected formation energy is 1.127 eV per atom.

=====

2.
Computed, not measured: a geometry-optimized CsNiSe3 structure at the PBE level of DFT.

It has space group Pm-3m (No. 221), with a = 4.982 Å, b = 4.982 Å, c = 4.982 Å, α = 90.00°, β = 90.00° and γ = 90.00°. The inequivalent atoms are Cs at (0.000, 0.000, 0.000), Ni at (0.500, 0.500, 0.500) and Se at (0.000, 0.500, 0.500).

As for the total energy: -3.58 eV per atom. The calculation puts the density of states at the Fermi level at 5.5 states/eV/cell. The value obtained for the uncorrected formation energy is -0.163 eV per atom.

=====

3.
Computed, not measured: a geometry-optimized CsNi2Se2 structure at the PBE level of DFT.

It has space group I4/mmm (No. 139), with a = 4.658 Å, b = 4.658 Å, c = 12.249 Å, α = 90.00°, β = 90.00° and γ = 90.00°. The inequivalent atoms are Cs at (0.000, 0.000, 0.000), Ni at (0.000, 0.000, 0.297) and Se at (0.000, 0.500, 0.250).

As for the total energy: -4.23 eV per atom. The calculation puts the density of states at the Fermi level at 3.7 states/eV/cell. The value obtained for the uncorrected formation energy is -0.352 eV per atom.

=====

4.
Computed, not measured: a geometry-optimized CsNiSe2 structure at the PBE level of DFT.

It has space group Cmcm (No. 63), with a = 6.443 Å, b = 14.203 Å, c = 6.983 Å, α = 90.00°, β = 90.00° and γ = 90.00°. The inequivalent atoms are Cs at (0.000, 0.161, 0.250), Ni at (0.000, 0.499, 0.250) and Se at (0.000, 0.393, 0.501).

As for the total energy: -3.99 eV per atom. The calculation puts the density of states at the Fermi level at 8.8 states/eV/cell. The value obtained for the uncorrected formation energy is -0.589 eV per atom.

=====

5.
Computed, not measured: a geometry-optimized Cs2Ni3Se4 structure at the PBE level of DFT.

It has space group Fmmm (No. 69), with a = 6.249 Å, b = 10.661 Å, c = 15.231 Å, α = 90.00°, β = 90.00° and γ = 90.00°. The inequivalent atoms are Cs at (0.000, 0.000, 0.155), Ni at (0.000, 0.000, 0.500), Ni at (0.250, 0.250, 0.000) and Se at (0.000, 0.167, 0.401).

As for the total energy: -4.32 eV per atom. The value obtained for the uncorrected formation energy is -0.657 eV per atom.

=====

6.
Computed, not measured: a geometry-optimized CsNi5Se8 structure at the PBE level of DFT.

It has space group C2/m (No. 12), with a = 18.567 Å, b = 3.665 Å, c = 8.818 Å, α = 90.00°, β = 107.84° and γ = 90.00°. The inequivalent atoms are Cs at (0.000, 0.000, 0.000), Ni at (0.000, 0.500, 0.500), Ni at (0.165, 0.000, 0.507), Ni at (0.204, 0.000, 0.825), Se at (0.072, 0.000, 0.660), Se at (0.092, 0.500, 0.364), Se at (0.176, 0.500, 0.975) and Se at (0.246, 0.500, 0.658).

As for the total energy: -4.47 eV per atom. The calculation puts the density of states at the Fermi level at 17.8 states/eV/cell. The value obtained for the uncorrected formation energy is -0.355 eV per atom.